Li2Mn3ZnO8 PBEsol relaxed; final energy = -408.90 eV/cell; raw formation energy = -1.82 eV per atom
1.0
8.1349 0.0000 0.0000
0.0000 8.1349 0.0000
0.0000 0.0000 8.1349
Li Mn Zn O
8 12 4 32
direct
0.1248 0.1248 0.1248 Li
0.2462 0.7538 0.2538 Li
0.2538 0.2462 0.7538 Li
0.3752 0.8752 0.6248 Li
0.6248 0.3752 0.8752 Li
0.7462 0.7462 0.7462 Li
0.7538 0.2538 0.2462 Li
0.8752 0.6248 0.3752 Li
0.1208 0.8747 0.8768 Mn
0.1232 0.6208 0.6253 Mn
0.1253 0.3768 0.3792 Mn
0.3747 0.6232 0.8792 Mn
0.3768 0.3792 0.1253 Mn
0.3792 0.1253 0.3768 Mn
0.6208 0.6253 0.1232 Mn
0.6232 0.8792 0.3747 Mn
0.6253 0.1232 0.6208 Mn
0.8747 0.8768 0.1208 Mn
0.8768 0.1208 0.8747 Mn
0.8792 0.3747 0.6232 Mn
0.0042 0.9958 0.4958 Zn
0.4958 0.0042 0.9958 Zn
0.5042 0.5042 0.5042 Zn
0.9958 0.4958 0.0042 Zn
0.0992 0.8712 0.1058 O
0.1058 0.0992 0.8712 O
0.1154 0.3846 0.6154 O
0.1224 0.8497 0.6415 O
0.1288 0.6058 0.4008 O
0.1350 0.6350 0.8650 O
0.1415 0.3776 0.1503 O
0.1503 0.1415 0.3776 O
0.3497 0.8585 0.8776 O
0.3585 0.6224 0.6503 O
0.3650 0.3650 0.3650 O
0.3712 0.3942 0.9008 O
0.3776 0.1503 0.1415 O
0.3846 0.6154 0.1154 O
0.3942 0.9008 0.3712 O
0.4008 0.1288 0.6058 O
0.5992 0.6288 0.8942 O
0.6058 0.4008 0.1288 O
0.6154 0.1154 0.3846 O
0.6224 0.6503 0.3585 O
0.6288 0.8942 0.5992 O
0.6350 0.8650 0.1350 O
0.6415 0.1224 0.8497 O
0.6503 0.3585 0.6224 O
0.8497 0.6415 0.1224 O
0.8585 0.8776 0.3497 O
0.8650 0.1350 0.6350 O
0.8712 0.1058 0.0992 O
0.8776 0.3497 0.8585 O
0.8846 0.8846 0.8846 O
0.8942 0.5992 0.6288 O
0.9008 0.3712 0.3942 O